(1)
MgSi2, optimized geometry, DFT PBE; energy above the lowest structure with this stoichiometry = 0.143 eV/atom; D(E_F) = 6.9 states/eV per cell; raw total energy = -95.5 eV/cell
1.0
5.8355 0.0000 0.0000
-0.6483 7.7167 0.0000
-0.4776 -3.8112 9.8374
Mg Si
8 16
Direct
0.0000 0.0000 0.0000 Mg
0.0197 0.4530 0.0508 Mg
0.2031 0.8834 0.4801 Mg
0.4196 0.5119 0.5304 Mg
0.4689 0.4606 0.8597 Mg
0.6421 0.2628 0.2240 Mg
0.7047 0.8789 0.5557 Mg
0.9091 0.4471 0.5008 Mg
0.1341 0.3245 0.2585 Si
0.1491 0.7762 0.7116 Si
0.1802 0.1062 0.7808 Si
0.1913 0.2702 0.6258 Si
0.2669 0.0396 0.2724 Si
0.3481 0.7556 0.0937 Si
0.3999 0.6104 0.2921 Si
0.4507 0.8405 0.8929 Si
0.5122 0.1711 0.9613 Si
0.5670 0.1509 0.4572 Si
0.7503 0.6912 0.7464 Si
0.7586 0.7578 0.0942 Si
0.7787 0.1661 0.7953 Si
0.8202 0.6467 0.2972 Si
0.8660 0.9817 0.3193 Si
0.9449 0.4538 0.7888 Si

(2)
Mg5Si9, optimized geometry, DFT PBE; energy above the lowest structure with this stoichiometry = 0.032 eV/atom; D(E_F) = 8.0 states/eV per cell; raw total energy = -109.9 eV/cell
1.0
5.7826 0.0000 0.0000
2.6087 6.5845 0.0000
0.0729 1.9547 13.9865
Mg Si
10 18
Direct
0.0000 0.0000 0.0000 Mg
0.0027 0.5471 0.7190 Mg
0.0488 0.4617 0.9607 Mg
0.2056 0.6282 0.5110 Mg
0.2823 0.5115 0.2762 Mg
0.3881 0.7231 0.8692 Mg
0.4957 0.0172 0.9825 Mg
0.6116 0.2794 0.8149 Mg
0.6145 0.8699 0.5380 Mg
0.8841 0.3225 0.1705 Mg
0.1125 0.2740 0.5766 Si
0.1404 0.1780 0.8354 Si
0.2302 0.1948 0.4193 Si
0.2521 0.9218 0.2038 Si
0.3375 0.0171 0.7016 Si
0.3618 0.8558 0.3715 Si
0.4351 0.1939 0.1700 Si
0.4411 0.6357 0.6798 Si
0.4485 0.6897 0.0867 Si
0.5662 0.3620 0.0191 Si
0.5865 0.2787 0.4518 Si
0.6978 0.3161 0.6102 Si
0.7655 0.9769 0.6918 Si
0.8064 0.7387 0.3750 Si
0.8296 0.4073 0.3456 Si
0.8314 0.9175 0.2213 Si
0.8465 0.8362 0.8572 Si
0.8591 0.7042 0.1022 Si

(3)
MgSi2, optimized geometry, DFT PBE; energy above the lowest structure with this stoichiometry = 0.143 eV/atom; D(E_F) = 3.0 states/eV per cell; raw total energy = -47.8 eV/cell
1.0
7.0384 0.0000 0.0000
0.0000 3.5729 0.0000
-2.0832 0.0000 8.8461
Mg Si
4 8
Direct
0.0477 0.2500 0.3595 Mg
0.2020 0.7500 0.1141 Mg
0.7980 0.2500 0.8859 Mg
0.9523 0.7500 0.6405 Mg
0.1687 0.2500 0.8545 Si
0.3120 0.2500 0.6217 Si
0.4254 0.7500 0.9046 Si
0.4504 0.2500 0.3252 Si
0.5496 0.7500 0.6748 Si
0.5746 0.2500 0.0954 Si
0.6880 0.7500 0.3783 Si
0.8313 0.7500 0.1455 Si

(4)
Mg6Si5, optimized geometry, DFT PBE; energy above the lowest structure with this stoichiometry = 0.075 eV/atom; D(E_F) = 6.7 states/eV per cell; raw total energy = -71.8 eV/cell
1.0
5.2381 0.0000 0.0000
0.6201 5.8531 0.0000
2.3637 0.3300 14.2057
Mg Si
12 10
Direct
0.0000 0.0000 0.0000 Mg
0.0026 0.2598 0.5472 Mg
0.1691 0.3642 0.8404 Mg
0.2922 0.8503 0.7942 Mg
0.3284 0.0519 0.3446 Mg
0.3495 0.4404 0.1878 Mg
0.4652 0.9343 0.1330 Mg
0.4757 0.8721 0.5554 Mg
0.7966 0.6185 0.3105 Mg
0.8225 0.6332 0.6899 Mg
0.8810 0.5143 0.0606 Mg
0.8936 0.1257 0.2117 Mg
0.0141 0.7866 0.4997 Si
0.2825 0.5613 0.3773 Si
0.3472 0.4860 0.6539 Si
0.3906 0.6411 0.9968 Si
0.4404 0.2346 0.9878 Si
0.5084 0.3484 0.4884 Si
0.6180 0.1521 0.6941 Si
0.7458 0.1187 0.8466 Si
0.7615 0.7116 0.8781 Si
0.8009 0.0595 0.3989 Si

(5)
Mg6Si5, optimized geometry, DFT PBE; energy above the lowest structure with this stoichiometry = 0.084 eV/atom; D(E_F) = 7.6 states/eV per cell; raw total energy = -71.6 eV/cell
1.0
4.0212 0.0000 0.0000
0.2914 7.0065 0.0000
0.2941 2.5449 15.3810
Mg Si
12 10
Direct
0.0000 0.0000 0.0000 Mg
0.0002 0.0640 0.4627 Mg
0.9999 0.2001 0.7778 Mg
0.0052 0.5449 0.4677 Mg
0.0121 0.1559 0.2566 Mg
0.4974 0.3354 0.9206 Mg
0.4979 0.2616 0.5971 Mg
0.4984 0.7695 0.5574 Mg
0.5021 0.3540 0.3662 Mg
0.5206 0.8325 0.3541 Mg
0.9757 0.4405 0.0608 Mg
0.9966 0.6733 0.8554 Mg
0.0053 0.5402 0.6465 Si
0.3340 0.7297 0.1322 Si
0.4812 0.3979 0.1906 Si
0.4829 0.8742 0.7357 Si
0.4856 0.6907 0.9832 Si
0.4966 0.5146 0.7462 Si
0.5031 0.1489 0.0991 Si
0.5027 0.9760 0.8751 Si
0.7993 0.8630 0.1865 Si
0.9814 0.9473 0.6437 Si

(6)
MgSi2, optimized geometry, DFT PBE; energy above the lowest structure with this stoichiometry = 0.155 eV/atom; D(E_F) = 3.6 states/eV per cell; raw total energy = -47.6 eV/cell
1.0
4.7463 0.0000 0.0000
0.1328 5.9758 0.0000
0.2639 2.4365 7.3435
Mg Si
4 8
Direct
0.0000 0.0000 0.0000 Mg
0.0073 0.0896 0.6226 Mg
0.0544 0.4498 0.2281 Mg
0.5048 0.7533 0.6642 Mg
0.0002 0.5737 0.8642 Si
0.0059 0.5666 0.5570 Si
0.1251 0.9354 0.3402 Si
0.5088 0.1257 0.8078 Si
0.5246 0.7382 0.1594 Si
0.5339 0.4196 0.4715 Si
0.5355 0.3958 0.9933 Si
0.6094 0.1050 0.3037 Si

(7)
MgSi2, optimized geometry, DFT PBE; energy above the lowest structure with this stoichiometry = 0.091 eV/atom; D(E_F) = 1.6 states/eV per cell; raw total energy = -24.2 eV/cell
1.0
4.8955 -1.9852 0.0000
4.8955 1.9852 0.0000
-2.8574 0.0000 5.6420
Mg Si
2 4
Direct
0.1427 0.1427 0.2910 Mg
0.8573 0.8573 0.7090 Mg
0.1540 0.1540 0.7301 Si
0.4032 0.4032 0.0836 Si
0.5968 0.5968 0.9164 Si
0.8460 0.8460 0.2699 Si

(8)
MgSi2, optimized geometry, DFT PBE; energy above the lowest structure with this stoichiometry = 0.089 eV/atom; D(E_F) = 4.0 states/eV per cell; raw total energy = -48.4 eV/cell
1.0
4.7258 -2.9543 0.0000
4.7258 2.9543 0.0000
-0.7955 0.0000 7.5439
Mg Si
4 8
Direct
0.0796 0.0796 0.1829 Mg
0.3874 0.3874 0.7479 Mg
0.6126 0.6126 0.2521 Mg
0.9204 0.9204 0.8171 Mg
0.0685 0.6610 0.4434 Si
0.1384 0.5473 0.1248 Si
0.3389 0.9315 0.5566 Si
0.4527 0.8616 0.8752 Si
0.5473 0.1384 0.1248 Si
0.6610 0.0685 0.4434 Si
0.8616 0.4527 0.8752 Si
0.9315 0.3389 0.5566 Si

(9)
Mg5Si9, optimized geometry, DFT PBE; energy above the lowest structure with this stoichiometry = 0.021 eV/atom; D(E_F) = 7.1 states/eV per cell; raw total energy = -110.2 eV/cell
1.0
5.5392 0.0000 0.0000
2.3395 6.7238 0.0000
2.0882 0.7740 13.8485
Mg Si
10 18
Direct
0.0000 0.0000 0.0000 Mg
0.0207 0.3362 0.3233 Mg
0.0479 0.4965 0.7144 Mg
0.1250 0.9752 0.4660 Mg
0.4626 0.7127 0.7814 Mg
0.5228 0.3142 0.1792 Mg
0.5558 0.1851 0.4045 Mg
0.6255 0.2442 0.7104 Mg
0.8185 0.7316 0.4021 Mg
0.9276 0.6829 0.1701 Mg
0.0555 0.3719 0.5181 Si
0.0823 0.2333 0.1363 Si
0.1805 0.5925 0.9370 Si
0.2124 0.1302 0.8151 Si
0.2371 0.1059 0.6380 Si
0.3362 0.5737 0.4773 Si
0.4034 0.6635 0.0613 Si
0.4154 0.9524 0.2780 Si
0.4797 0.9751 0.0810 Si
0.5112 0.5876 0.3090 Si
0.5384 0.1007 0.9133 Si
0.6293 0.5744 0.5892 Si
0.6629 0.9145 0.5746 Si
0.7735 0.3342 0.8730 Si
0.8463 0.4616 0.0120 Si
0.8569 0.8175 0.8420 Si
0.9626 0.0017 0.2633 Si
0.9902 0.8834 0.6757 Si

(10)
Mg5Si9, optimized geometry, DFT PBE; energy above the lowest structure with this stoichiometry = 0.011 eV/atom; D(E_F) = 5.2 states/eV per cell; raw total energy = -110.5 eV/cell
1.0
6.9567 0.0000 0.0000
3.3452 6.4055 0.0000
3.1249 0.1580 12.1902
Mg Si
10 18
Direct
0.0000 0.0000 0.0000 Mg
0.0013 0.7935 0.6036 Mg
0.0055 0.4470 0.7809 Mg
0.1525 0.6274 0.1580 Mg
0.1575 0.0301 0.4299 Mg
0.2667 0.3388 0.5239 Mg
0.3587 0.2101 0.9441 Mg
0.5268 0.8026 0.5935 Mg
0.6565 0.4630 0.4148 Mg
0.9626 0.3032 0.1662 Mg
0.0128 0.6083 0.9856 Si
0.0694 0.1227 0.6495 Si
0.0912 0.3947 0.3343 Si
0.2221 0.6420 0.3620 Si
0.2594 0.0032 0.7982 Si
0.2808 0.6565 0.8370 Si
0.3537 0.9171 0.1067 Si
0.4161 0.4839 0.6622 Si
0.4196 0.1249 0.2196 Si
0.5323 0.5972 0.2076 Si
0.6054 0.4511 0.9090 Si
0.6073 0.3066 0.0949 Si
0.6410 0.8623 0.3418 Si
0.6501 0.8994 0.7765 Si
0.6529 0.7496 0.9548 Si
0.6945 0.0604 0.4783 Si
0.6959 0.2170 0.7511 Si
0.9290 0.9692 0.2972 Si

(11)
MgSi2, optimized geometry, DFT PBE; energy above the lowest structure with this stoichiometry = 0.077 eV/atom; D(E_F) = 7.6 states/eV per cell; raw total energy = -97.1 eV/cell
1.0
9.2012 0.0000 0.0000
0.0000 5.9289 0.0000
0.0000 0.0000 7.7344
Mg Si
8 16
Direct
0.0986 0.2500 0.2174 Mg
0.1319 0.7500 0.1095 Mg
0.3681 0.2500 0.6095 Mg
0.4014 0.7500 0.7174 Mg
0.5986 0.2500 0.2826 Mg
0.6319 0.7500 0.3905 Mg
0.8681 0.2500 0.8905 Mg
0.9014 0.7500 0.7826 Mg
0.1307 0.5499 0.5152 Si
0.1307 0.9501 0.5152 Si
0.1435 0.0463 0.8221 Si
0.1435 0.4537 0.8221 Si
0.3565 0.5463 0.3221 Si
0.3565 0.9537 0.3221 Si
0.3693 0.0499 0.0152 Si
0.3693 0.4501 0.0152 Si
0.6307 0.5499 0.9848 Si
0.6307 0.9501 0.9848 Si
0.6435 0.0463 0.6779 Si
0.6435 0.4537 0.6779 Si
0.8565 0.5463 0.1779 Si
0.8565 0.9537 0.1779 Si
0.8693 0.0499 0.4848 Si
0.8693 0.4501 0.4848 Si

(12)
MgSi2, optimized geometry, DFT PBE; energy above the lowest structure with this stoichiometry = 0.077 eV/atom; D(E_F) = 3.4 states/eV per cell; raw total energy = -48.6 eV/cell
1.0
3.7535 0.0000 0.0000
1.8750 5.0822 0.0000
1.6489 1.1941 11.7314
Mg Si
4 8
Direct
0.1561 0.4225 0.3275 Mg
0.3146 0.4691 0.8890 Mg
0.6854 0.5309 0.1110 Mg
0.8439 0.5775 0.6725 Mg
0.0434 0.0888 0.8137 Si
0.1166 0.0142 0.6188 Si
0.3974 0.1169 0.0866 Si
0.4654 0.7293 0.4645 Si
0.5346 0.2707 0.5355 Si
0.6026 0.8831 0.9134 Si
0.8834 0.9858 0.3812 Si
0.9566 0.9112 0.1863 Si

(13)
MgSi2, optimized geometry, DFT PBE; energy above the lowest structure with this stoichiometry = 0.116 eV/atom; D(E_F) = 5.1 states/eV per cell; raw total energy = -96.2 eV/cell
1.0
6.2157 0.0000 0.0000
1.2971 7.2171 0.0000
1.8172 1.0586 9.7157
Mg Si
8 16
Direct
0.0316 0.1962 0.2664 Mg
0.2430 0.5864 0.2195 Mg
0.2962 0.9112 0.4675 Mg
0.3200 0.4620 0.6484 Mg
0.6800 0.5380 0.3516 Mg
0.7038 0.0888 0.5325 Mg
0.7570 0.4136 0.7805 Mg
0.9684 0.8038 0.7336 Mg
0.0186 0.3297 0.5069 Si
0.1254 0.1263 0.7143 Si
0.1443 0.9274 0.0726 Si
0.1829 0.6358 0.9430 Si
0.2376 0.2929 0.0022 Si
0.3934 0.2793 0.3880 Si
0.4721 0.1374 0.8138 Si
0.4936 0.8021 0.8423 Si
0.5064 0.1979 0.1577 Si
0.5279 0.8626 0.1862 Si
0.6066 0.7207 0.6120 Si
0.7624 0.7071 0.9978 Si
0.8171 0.3642 0.0570 Si
0.8557 0.0726 0.9274 Si
0.8746 0.8737 0.2857 Si
0.9814 0.6703 0.4931 Si

(14)
MgSi2, optimized geometry, DFT PBE; energy above the lowest structure with this stoichiometry = 0.100 eV/atom; D(E_F) = 2.0 states/eV per cell; raw total energy = -24.1 eV/cell
1.0
1.7111 -5.6024 0.0000
1.7111 5.6024 0.0000
0.0000 0.0000 5.3895
Mg Si
2 4
Direct
0.1817 0.8183 0.7500 Mg
0.8183 0.1817 0.2500 Mg
0.1179 0.8821 0.2500 Si
0.5000 0.5000 0.0000 Si
0.5000 0.5000 0.5000 Si
0.8821 0.1179 0.7500 Si

(15)
MgSi2, optimized geometry, DFT PBE; energy above the lowest structure with this stoichiometry = 0.091 eV/atom; D(E_F) = 3.0 states/eV per cell; raw total energy = -48.4 eV/cell
1.0
3.6737 0.0000 0.0000
-1.8163 5.6297 0.0000
-0.3582 -2.9053 10.8743
Mg Si
4 8
Direct
0.0525 0.4974 0.3515 Mg
0.2660 0.0322 0.1297 Mg
0.7340 0.9678 0.8703 Mg
0.9475 0.5026 0.6485 Mg
0.0549 0.5917 0.9133 Si
0.2408 0.0944 0.6194 Si
0.4056 0.1869 0.4211 Si
0.4160 0.3330 0.8252 Si
0.5840 0.6670 0.1748 Si
0.5944 0.8131 0.5789 Si
0.7592 0.9056 0.3806 Si
0.9451 0.4083 0.0867 Si

(16)
Mg6Si5, optimized geometry, DFT PBE; energy above the lowest structure with this stoichiometry = 0.067 eV/atom; D(E_F) = 7.3 states/eV per cell; raw total energy = -72.0 eV/cell
1.0
6.8719 0.0000 0.0000
0.0000 3.9432 0.0000
-2.3789 0.0000 15.5935
Mg Si
12 10
Direct
0.0000 0.0000 0.0000 Mg
0.0107 0.5000 0.4056 Mg
0.0644 0.5000 0.1828 Mg
0.1747 0.5000 0.8654 Mg
0.1929 0.5000 0.6300 Mg
0.2969 0.0000 0.3244 Mg
0.4057 0.0000 0.7685 Mg
0.4821 0.0000 0.9609 Mg
0.4999 0.5000 0.4664 Mg
0.5903 0.5000 0.2599 Mg
0.7237 0.5000 0.8659 Mg
0.9132 0.0000 0.7400 Mg
0.2360 0.0000 0.4979 Si
0.3057 0.5000 0.0478 Si
0.3521 0.0000 0.1490 Si
0.5123 0.0000 0.6124 Si
0.7018 0.0000 0.3905 Si
0.7077 0.0000 0.1396 Si
0.7259 0.5000 0.0476 Si
0.7669 0.5000 0.6128 Si
0.9003 0.0000 0.5358 Si
0.9026 0.0000 0.2791 Si

| no. | E_form (uncorrected) (meV/atom) | magnetization (μB per cell) |
| --- | --- | --- |
| 1 | 166 | 0.00 |
| 2 | 130 | 0.00 |
| 3 | 167 | 0.00 |
| 4 | 71 | 0.00 |
| 5 | 81 | 0.00 |
| 6 | 178 | 0.00 |
| 7 | 115 | 0.00 |
| 8 | 113 | 0.00 |
| 9 | 119 | 0.00 |
| 10 | 109 | 0.00 |
| 11 | 101 | 0.00 |
| 12 | 100 | 0.00 |
| 13 | 140 | 0.00 |
| 14 | 124 | 0.00 |
| 15 | 115 | 0.00 |
| 16 | 63 | 0.00 |